(w)
DFT (PBE) results for an optimized crystal structure of GaPH. Values from VASP.

Cell and atoms, written as Quantum ESPRESSO input:
```
&SYSTEM
  ibrav = 0, nat = 6, ntyp = 3
/
ATOMIC_SPECIES
Ga 69.72 Ga.upf
P 30.97 P.upf
H 1.01 H.upf
ATOMIC_POSITIONS crystal
Ga 0.0000 0.0000 0.0000
Ga 0.2350 0.6185 0.7761
P 0.7245 0.3702 0.1262
P 0.9195 0.4499 0.4304
H 0.5631 0.4384 0.4657
H 0.7621 0.0358 0.4410
CELL_PARAMETERS angstrom
3.8734 0.0000 0.0000
-1.9147 3.3792 0.0000
-1.2789 -0.9436 7.6654
```

Output
For the density of states at the Fermi level, the calculation gives 0.16 states/eV per atom. The space group is P1, No. 1. As for the crystal system: triclinic.


(x)
DFT (PBE) results for an optimized crystal structure of GaPH. Values from VASP.

Cell and atoms, written as Quantum ESPRESSO input:
```
&SYSTEM
  ibrav = 0, nat = 6, ntyp = 3
/
ATOMIC_SPECIES
Ga 69.72 Ga.upf
P 30.97 P.upf
H 1.01 H.upf
ATOMIC_POSITIONS crystal
Ga 0.1149 0.1149 0.4114
Ga 0.8851 0.8851 0.5886
P 0.4135 0.4135 0.8320
P 0.5865 0.5865 0.1680
H 0.2663 0.2663 0.8998
H 0.7337 0.7337 0.1002
CELL_PARAMETERS angstrom
4.2151 -1.9003 0.0000
4.2151 1.9003 0.0000
-1.7073 0.0000 6.2498
```

Output
For the density of states at the Fermi level, the calculation gives 0.05 states/eV per atom. The space group is C2/m, No. 12. As for the crystal system: monoclinic.


(y)
DFT (PBE) results for an optimized crystal structure of GaPH. Values from VASP.

Cell and atoms, written as Quantum ESPRESSO input:
```
&SYSTEM
  ibrav = 0, nat = 6, ntyp = 3
/
ATOMIC_SPECIES
Ga 69.72 Ga.upf
P 30.97 P.upf
H 1.01 H.upf
ATOMIC_POSITIONS crystal
Ga 0.2212 0.1102 0.0004
Ga 0.7788 0.8898 0.9996
P 0.0680 0.5521 0.6767
P 0.9320 0.4479 0.3233
H 0.3019 0.6852 0.5378
H 0.6981 0.3148 0.4622
CELL_PARAMETERS angstrom
4.6085 0.0000 0.0000
1.3021 4.5688 0.0000
0.8527 0.7056 5.0351
```

Output
The space group is P-1, No. 2. As for the crystal system: triclinic.


It comes down to (y), which is 2.0 kJ/mol of atoms more stable than the next structure.


(w)
DFT (PBE) results for an optimized crystal structure of GaPH2. Values from VASP.

Cell and atoms, written as Quantum ESPRESSO input:
```
&SYSTEM
  ibrav = 0, nat = 4, ntyp = 3
/
ATOMIC_SPECIES
Ga 69.72 Ga.upf
P 30.97 P.upf
H 1.01 H.upf
ATOMIC_POSITIONS crystal
Ga 0.0000 0.0000 0.0000
P 0.5000 0.5000 0.5000
H 0.2500 0.2500 0.2500
H 0.7500 0.7500 0.7500
CELL_PARAMETERS angstrom
0.0000 2.6674 2.6674
2.6674 0.0000 2.6674
2.6674 2.6674 0.0000
```

Output
For the density of states at the Fermi level, the calculation gives 0.32 states/eV per atom. The space group is Fm-3m, No. 225. As for the crystal system: cubic.


(x)
DFT (PBE) results for an optimized crystal structure of GaPH2. Values from VASP.

Cell and atoms, written as Quantum ESPRESSO input:
```
&SYSTEM
  ibrav = 0, nat = 8, ntyp = 3
/
ATOMIC_SPECIES
Ga 69.72 Ga.upf
P 30.97 P.upf
H 1.01 H.upf
ATOMIC_POSITIONS crystal
Ga 0.3750 0.6250 0.7500
Ga 0.6250 0.3750 0.2500
P 0.1250 0.8750 0.2500
P 0.8750 0.1250 0.7500
H 0.0000 0.0000 0.0000
H 0.0000 0.0000 0.5000
H 0.0000 0.5000 0.0000
H 0.5000 0.0000 0.5000
CELL_PARAMETERS angstrom
-2.1907 2.1907 5.1821
2.1907 -2.1907 5.1821
2.1907 2.1907 -5.1821
```

Output
For the density of states at the Fermi level, the calculation gives 0.00 states/eV per atom. The space group is I4_1/amd, No. 141. As for the crystal system: tetragonal.


It comes down to (x), which is 32.6 kJ/mol of atoms more stable than the next structure.


(w)
DFT (PBE) results for an optimized crystal structure of GaP2H. Values from VASP.

Cell and atoms, written as Quantum ESPRESSO input:
```
&SYSTEM
  ibrav = 0, nat = 4, ntyp = 3
/
ATOMIC_SPECIES
Ga 69.72 Ga.upf
P 30.97 P.upf
H 1.01 H.upf
ATOMIC_POSITIONS crystal
Ga 0.0000 0.0000 0.0000
P 0.4267 0.7238 0.1733
P 0.4691 0.9244 0.5870
H 0.1541 0.5334 0.5832
CELL_PARAMETERS angstrom
3.9209 0.0000 0.0000
-1.9058 3.4571 0.0000
-1.6393 -1.2660 4.8919
```

Output
The space group is P1, No. 1. As for the crystal system: triclinic.


(x)
DFT (PBE) results for an optimized crystal structure of GaP2H. Values from VASP.

Cell and atoms, written as Quantum ESPRESSO input:
```
&SYSTEM
  ibrav = 0, nat = 4, ntyp = 3
/
ATOMIC_SPECIES
Ga 69.72 Ga.upf
P 30.97 P.upf
H 1.01 H.upf
ATOMIC_POSITIONS crystal
Ga 0.0000 0.0000 0.0000
P 0.2500 0.2500 0.2500
P 0.7500 0.7500 0.7500
H 0.5000 0.5000 0.5000
CELL_PARAMETERS angstrom
0.0000 2.9725 2.9725
2.9725 0.0000 2.9725
2.9725 2.9725 0.0000
```

Output
For the density of states at the Fermi level, the calculation gives 0.63 states/eV per atom. The space group is Fm-3m, No. 225. As for the crystal system: cubic.


It comes down to (w), which is 75.5 kJ/mol of atoms more stable than the next structure.